[1]
Compound: SrIr2Os
Source: the Alexandria database
Functional: PBE
Structure: optimized geometry

The structure in POSCAR format:
```
SrIr2Os
1.0
-2.055 2.055 4.167
2.055 -2.055 4.167
2.055 2.055 -4.167
Sr Ir Os
1 2 1
Direct
0.000 0.000 0.000
0.250 0.750 0.500
0.500 0.500 0.000
0.750 0.250 0.500
```

Summary:
SG: No. 119
total moment: 0.000 μB/atom
DFT formation energy: 78 kJ per mole of atoms
VASP energy: -27.40 eV for the cell shown
excess energy over the best structure of this formula in the dataset: 217 kJ/mol of formula units


[2]
Compound: SrIr2Os
Source: the Alexandria database
Functional: PBE
Structure: optimized geometry

The structure in POSCAR format:
```
SrIr2Os
1.0
4.217 0.000 0.000
0.000 4.217 0.000
0.000 0.000 3.973
Sr Ir Os
1 2 1
Direct
0.000 0.000 0.000
0.000 0.500 0.500
0.500 0.000 0.500
0.500 0.500 0.000
```

Summary:
SG: No. 123
total moment: 0.158 μB/atom
DFT formation energy: 75 kJ per mole of atoms
VASP energy: -27.54 eV for the cell shown
excess energy over the best structure of this formula in the dataset: 203 kJ/mol of formula units


[3]
Compound: SrIrOs2
Source: the Alexandria database
Functional: PBE
Structure: optimized geometry

The structure in POSCAR format:
```
SrIrOs2
1.0
5.605 -1.401 0.000
5.605 1.401 0.000
-1.852 0.000 4.826
Sr Ir Os
1 1 2
Direct
0.000 0.000 0.000
0.500 0.500 0.500
0.215 0.215 0.667
0.785 0.785 0.333
```

Summary:
SG: No. 12
total moment: 0.000 μB/atom
DFT formation energy: 56 kJ per mole of atoms
VASP energy: -30.68 eV for the cell shown
excess energy over the best structure of this formula in the dataset: 54 kJ/mol of formula units


[4]
Compound: SrIr2Os
Source: the Alexandria database
Functional: PBE
Structure: optimized geometry

The structure in POSCAR format:
```
SrIr2Os
1.0
-3.814 3.814 2.981
3.814 -3.814 2.981
3.814 3.814 -2.981
Sr Ir Os
2 4 2
Direct
0.000 0.000 0.000
0.750 0.250 0.500
0.202 0.625 0.077
0.375 0.452 0.577
0.548 0.125 0.923
0.875 0.798 0.423
0.250 0.750 0.500
0.500 0.500 0.000
```

Summary:
SG: No. 122
total moment: 0.000 μB/atom
DFT formation energy: 60 kJ per mole of atoms
VASP energy: -56.30 eV for the cell shown
excess energy over the best structure of this formula in the dataset: 144 kJ/mol of formula units